Record 1
Density functional theory data (PBE) for a relaxed Gd2BiAu crystal.

Summary:
The value obtained for the total energy is -38.2 eV for the cell shown. For the formation energy, the calculation gives -0.7238 eV/atom. Its total magnetization is 15.2 μB/cell. Its energy above the most stable polymorph in this dataset is 0.0290 eV per atom.

Cell and atoms, written as CIF:
```
data_Gd2BiAu
_chemical_formula_sum 'Gd2 Bi1 Au1'
_symmetry_space_group_name_H-M 'P 1'
_symmetry_Int_Tables_number 1
_cell_length_a 5.3351
_cell_length_b 5.3351
_cell_length_c 5.3351
_cell_angle_alpha 60.00
_cell_angle_beta 60.00
_cell_angle_gamma 60.00
loop_
_symmetry_equiv_pos_as_xyz
'x,y,z'
loop_
_atom_site_label
_atom_site_type_symbol
_atom_site_fract_x
_atom_site_fract_y
_atom_site_fract_z
Bi1 Bi 0.0000 0.0000 0.0000
Au1 Au 0.5000 0.5000 0.5000
Gd1 Gd 0.7500 0.7500 0.7500
Gd2 Gd 0.2500 0.2500 0.2500
```

***

Record 2
Density functional theory data (PBE) for a relaxed GdBiAu2 crystal.

Summary:
The value obtained for the total energy is -26.6 eV for the cell shown. For the formation energy, the calculation gives -0.5265 eV/atom. Its total magnetization is 7.1 μB/cell. Its energy above the most stable polymorph in this dataset is 0.0758 eV per atom.

Cell and atoms, written as CIF:
```
data_GdBiAu2
_chemical_formula_sum 'Gd1 Bi1 Au2'
_symmetry_space_group_name_H-M 'P 1'
_symmetry_Int_Tables_number 1
_cell_length_a 4.4647
_cell_length_b 4.5897
_cell_length_c 4.5897
_cell_angle_alpha 90.00
_cell_angle_beta 90.00
_cell_angle_gamma 90.00
loop_
_symmetry_equiv_pos_as_xyz
'x,y,z'
loop_
_atom_site_label
_atom_site_type_symbol
_atom_site_fract_x
_atom_site_fract_y
_atom_site_fract_z
Bi1 Bi 0.5000 0.0000 0.0000
Gd1 Gd 0.5000 0.5000 0.5000
Au1 Au 0.0000 0.0000 0.5000
Au2 Au 0.0000 0.5000 0.0000
```

***

Record 3
Density functional theory data (PBE) for a relaxed Gd2BiAu crystal.

Summary:
The value obtained for the total energy is -38.3 eV for the cell shown. For the formation energy, the calculation gives -0.7336 eV/atom. Its total magnetization is 14.5 μB/cell. Its energy above the most stable polymorph in this dataset is 0.0191 eV per atom.

Cell and atoms, written as CIF:
```
data_Gd2BiAu
_chemical_formula_sum 'Gd2 Bi1 Au1'
_symmetry_space_group_name_H-M 'P 1'
_symmetry_Int_Tables_number 1
_cell_length_a 4.3650
_cell_length_b 4.3650
_cell_length_c 7.6779
_cell_angle_alpha 73.49
_cell_angle_beta 73.49
_cell_angle_gamma 60.00
loop_
_symmetry_equiv_pos_as_xyz
'x,y,z'
loop_
_atom_site_label
_atom_site_type_symbol
_atom_site_fract_x
_atom_site_fract_y
_atom_site_fract_z
Gd1 Gd 0.2562 0.2562 0.2313
Gd2 Gd 0.7438 0.7438 0.7687
Au1 Au 0.0000 0.0000 0.0000
Bi1 Bi 0.5000 0.5000 0.5000
```

***

Record 4
Density functional theory data (PBE) for a relaxed GdBiAu2 crystal.

Summary:
The value obtained for the total energy is -26.7 eV for the cell shown. For the formation energy, the calculation gives -0.5558 eV/atom. Its total magnetization is 7.0 μB/cell. Its energy above the most stable polymorph in this dataset is 0.0465 eV per atom.

Cell and atoms, written as CIF:
```
data_GdBiAu2
_chemical_formula_sum 'Gd1 Bi1 Au2'
_symmetry_space_group_name_H-M 'P 1'
_symmetry_Int_Tables_number 1
_cell_length_a 3.7695
_cell_length_b 3.7695
_cell_length_c 6.8061
_cell_angle_alpha 90.00
_cell_angle_beta 90.00
_cell_angle_gamma 90.00
loop_
_symmetry_equiv_pos_as_xyz
'x,y,z'
loop_
_atom_site_label
_atom_site_type_symbol
_atom_site_fract_x
_atom_site_fract_y
_atom_site_fract_z
Gd1 Gd 0.5000 0.5000 0.0000
Bi1 Bi 0.5000 0.5000 0.5000
Au1 Au 0.0000 0.0000 0.2297
Au2 Au 0.0000 0.0000 0.7703
```

***

Record 5
Density functional theory data (PBE) for a relaxed GdBiAu4 crystal.

Summary:
The value obtained for the total energy is -33.7 eV for the cell shown. For the formation energy, the calculation gives -0.4348 eV/atom. Its total magnetization is 7.0 μB/cell.

Cell and atoms, written as CIF:
```
data_GdBiAu4
_chemical_formula_sum 'Gd1 Bi1 Au4'
_symmetry_space_group_name_H-M 'P 1'
_symmetry_Int_Tables_number 1
_cell_length_a 5.7046
_cell_length_b 5.7046
_cell_length_c 5.7046
_cell_angle_alpha 60.00
_cell_angle_beta 60.00
_cell_angle_gamma 60.00
loop_
_symmetry_equiv_pos_as_xyz
'x,y,z'
loop_
_atom_site_label
_atom_site_type_symbol
_atom_site_fract_x
_atom_site_fract_y
_atom_site_fract_z
Bi1 Bi 0.2500 0.2500 0.2500
Au1 Au 0.6253 0.1242 0.6253
Au2 Au 0.6253 0.6253 0.6253
Gd1 Gd 0.0000 0.0000 0.0000
Au3 Au 0.1242 0.6253 0.6253
Au4 Au 0.6253 0.6253 0.1242
```

***

Record 6
Density functional theory data (PBE) for a relaxed GdBiAu2 crystal.

Summary:
The value obtained for the total energy is -26.9 eV for the cell shown. For the formation energy, the calculation gives -0.6023 eV/atom. Its total magnetization is 7.0 μB/cell. Its energy above the most stable polymorph in this dataset is 0.0000 eV per atom.

Cell and atoms, written as CIF:
```
data_GdBiAu2
_chemical_formula_sum 'Gd1 Bi1 Au2'
_symmetry_space_group_name_H-M 'P 1'
_symmetry_Int_Tables_number 1
_cell_length_a 5.1176
_cell_length_b 5.1176
_cell_length_c 5.1176
_cell_angle_alpha 60.00
_cell_angle_beta 60.00
_cell_angle_gamma 60.00
loop_
_symmetry_equiv_pos_as_xyz
'x,y,z'
loop_
_atom_site_label
_atom_site_type_symbol
_atom_site_fract_x
_atom_site_fract_y
_atom_site_fract_z
Au1 Au 0.2500 0.2500 0.2500
Gd1 Gd 0.0000 0.0000 0.0000
Bi1 Bi 0.5000 0.5000 0.5000
Au2 Au 0.7500 0.7500 0.7500
```

***

Please write out number 6 again, unchanged.
Density functional theory data (PBE) for a relaxed GdBiAu2 crystal.

Summary:
The value obtained for the total energy is -26.9 eV for the cell shown. For the formation energy, the calculation gives -0.6023 eV/atom. Its total magnetization is 7.0 μB/cell. Its energy above the most stable polymorph in this dataset is 0.0000 eV per atom.

Cell and atoms, written as CIF:
```
data_GdBiAu2
_chemical_formula_sum 'Gd1 Bi1 Au2'
_symmetry_space_group_name_H-M 'P 1'
_symmetry_Int_Tables_number 1
_cell_length_a 5.1176
_cell_length_b 5.1176
_cell_length_c 5.1176
_cell_angle_alpha 60.00
_cell_angle_beta 60.00
_cell_angle_gamma 60.00
loop_
_symmetry_equiv_pos_as_xyz
'x,y,z'
loop_
_atom_site_label
_atom_site_type_symbol
_atom_site_fract_x
_atom_site_fract_y
_atom_site_fract_z
Au1 Au 0.2500 0.2500 0.2500
Gd1 Gd 0.0000 0.0000 0.0000
Bi1 Bi 0.5000 0.5000 0.5000
Au2 Au 0.7500 0.7500 0.7500
```